[1]
CsRb2MoO4 | PBE with a Hubbard U | optimized geometry

Results
As for the magnetic moment: 1.00 μB/f.u.

Unit cell a=9.385 b=9.725 c=8.487 alpha=90.00 beta=90.00 gamma=90.00
Space group Fmm2 (No. 42)
One atom of each set of equivalent atoms:
Cs1 0.000 0.000 0.000 x4
Rb1 0.250 0.250 0.246 x8
Mo1 0.000 0.000 0.488 x4
O1 0.000 0.171 0.591 x8
O2 0.173 0.000 0.378 x8

[2]
Cs2RbMoO4 | PBE with a Hubbard U | optimized geometry

Results
As for the magnetic moment: 1.00 μB/f.u.

Unit cell a=6.932 b=6.932 c=8.436 alpha=90.00 beta=90.00 gamma=90.00
Space group I-4 (No. 82)
One atom of each set of equivalent atoms:
Cs1 0.000 0.000 0.000 x2
Cs2 0.000 0.500 0.250 x2
Rb1 0.000 0.000 0.500 x2
Mo1 0.000 0.500 0.750 x2
O1 0.158 0.323 0.643 x8

[3]
Cs3RbMo2O8 | PBE with a Hubbard U | optimized geometry

Results
As for the magnetic moment: 0.34 μB/f.u. The value obtained for the density of states at the Fermi level is 0.000 states/eV/atom.

Unit cell a=6.7132 b=6.7132 c=8.6574 alpha=90.00 beta=90.00 gamma=120.00
Space group P-3m1 (No. 164)
One atom of each set of equivalent atoms:
Cs1 0.0000 0.0000 0.0000 x1
Cs2 0.3333 0.6667 0.6756 x2
Rb1 0.0000 0.0000 0.5000 x1
Mo1 0.3333 0.6667 0.2143 x2
O1 0.1877 0.3753 0.2865 x6
O2 0.3333 0.6667 0.0075 x2

[4]
CsMoRuO6 | PBE with a Hubbard U | optimized geometry

Results
As for the magnetic moment: 0.92 μB/f.u. The value obtained for the density of states at the Fermi level is 0.083 states/eV/atom.

Unit cell a=5.3966 b=5.3966 c=6.4215 alpha=90.00 beta=90.00 gamma=120.00
Space group P-6m2 (No. 187)
One atom of each set of equivalent atoms:
Cs1 0.0000 0.0000 0.0000 x1
Mo1 0.6667 0.3333 0.5000 x1
Ru1 0.3333 0.6667 0.5000 x1
O1 0.0026 0.5013 0.3155 x6

[5]
Cs2MoS3O | PBE with a Hubbard U | optimized geometry

Results
As for the magnetic moment: 0.00 μB/f.u. The value obtained for the density of states at the Fermi level is 0.000 states/eV/atom.

Unit cell a=10.017 b=7.474 c=12.536 alpha=90.00 beta=90.00 gamma=90.00
Space group Pnma (No. 62)
One atom of each set of equivalent atoms:
Cs1 0.039 0.250 0.187 x4
Cs2 0.164 0.750 0.379 x4
Mo1 0.240 0.750 0.053 x4
S1 0.026 0.750 0.100 x4
S2 0.161 0.008 0.621 x8
O1 0.247 0.250 0.413 x4

[6]
CsMoS2O8 | PBE with a Hubbard U | optimized geometry

Results
As for the magnetic moment: 3.00 μB/f.u. The value obtained for the density of states at the Fermi level is 0.000 states/eV/atom.

Unit cell a=5.0665 b=5.0665 c=9.0830 alpha=90.00 beta=90.00 gamma=120.00
Space group P-3 (No. 147)
One atom of each set of equivalent atoms:
Cs1 0.0000 0.0000 0.0000 x1
Mo1 0.0000 0.0000 0.5000 x1
S1 0.3333 0.6667 0.6984 x2
O1 0.0766 0.3706 0.6429 x6
O2 0.3333 0.6667 0.8594 x2

[7]
Cs2MoS2O2 | PBE with a Hubbard U | optimized geometry

Results
As for the magnetic moment: 0.00 μB/f.u. The value obtained for the density of states at the Fermi level is 0.000 states/eV/atom.

Unit cell a=12.415 b=7.751 c=10.771 alpha=90.00 beta=122.52 gamma=90.00
Space group C2/c (No. 15)
One atom of each set of equivalent atoms:
Cs1 0.212 0.052 0.331 x8
Mo1 0.000 0.425 0.750 x4
S1 0.018 0.256 0.929 x8
O1 0.139 0.444 0.324 x8

[8]
Cs2MoS2O2 | PBE with a Hubbard U | optimized geometry

Results
As for the magnetic moment: 0.00 μB/f.u. The value obtained for the density of states at the Fermi level is 0.000 states/eV/atom.

Unit cell a=9.991 b=7.845 c=11.217 alpha=90.00 beta=90.00 gamma=90.00
Space group Pbcn (No. 60)
One atom of each set of equivalent atoms:
Cs1 0.130 0.206 0.086 x8
Mo1 0.000 0.309 0.750 x4
S1 0.162 0.474 0.825 x8
O1 0.065 0.180 0.633 x8

[9]
Cs2ScMoO6 | PBE with a Hubbard U | optimized geometry

Results
As for the magnetic moment: 1.05 μB/f.u. The value obtained for the density of states at the Fermi level is 0.267 states/eV/atom.

Unit cell a=6.6812 b=6.6812 c=5.5126 alpha=90.00 beta=90.00 gamma=120.00
Space group P-3m1 (No. 164)
One atom of each set of equivalent atoms:
Cs1 0.3333 0.6667 0.3043 x2
Sc1 0.0000 0.0000 0.0000 x1
Mo1 0.0000 0.0000 0.5000 x1
O1 0.1304 0.2607 0.7243 x6

[10]
CsScMo2O8 | PBE with a Hubbard U | optimized geometry

Results
As for the magnetic moment: 0.00 μB/f.u. The value obtained for the density of states at the Fermi level is 0.000 states/eV/atom.

Unit cell a=5.6273 b=5.6273 c=26.6366 alpha=90.00 beta=90.00 gamma=120.00
Space group R-3 (No. 148, hexagonal axes)
One atom of each set of equivalent atoms:
Cs1 0.0000 0.0000 0.0000 x3
Sc1 0.0000 0.0000 0.5000 x3
Mo1 0.0000 0.0000 0.2335 x6
O1 0.0000 0.0000 0.2996 x6
O2 0.0002 0.3998 0.1207 x18

[11]
Cs2Mo3SeO12 | PBE with a Hubbard U | optimized geometry

Results
As for the magnetic moment: 0.00 μB/f.u. The value obtained for the density of states at the Fermi level is 0.000 states/eV/atom.

Unit cell a=7.4138 b=7.4138 c=12.9950 alpha=90.00 beta=90.00 gamma=120.00
Space group P6_3 (No. 173)
One atom of each set of equivalent atoms:
Cs1 0.3333 0.6667 0.0000 x2
Cs2 0.3333 0.6667 0.3733 x2
Mo1 0.1419 0.8031 0.6695 x6
Se1 0.0000 0.0000 0.4509 x2
O1 0.0880 0.5412 0.6279 x6
O2 0.1188 0.2474 0.5059 x6
O3 0.1227 0.8722 0.1794 x6
O4 0.1982 0.7991 0.7994 x6

[12]
Cs2SmMo3O12 | PBE with a Hubbard U | optimized geometry

Results
As for the magnetic moment: 1.03 μB/f.u. The value obtained for the density of states at the Fermi level is 0.574 states/eV/atom.

Unit cell a=7.5340 b=7.5340 c=19.1646 alpha=90.00 beta=90.00 gamma=120.00
Space group R-3m (No. 166, hexagonal axes)
One atom of each set of equivalent atoms:
Cs1 0.0000 0.0000 0.1227 x6
Sm1 0.0000 0.0000 0.5000 x3
Mo1 0.0000 0.5000 0.0000 x9
O1 0.0405 0.5202 0.0977 x18
O2 0.0905 0.5452 0.3431 x18

[13]
Cs2SrMoO4 | PBE with a Hubbard U | optimized geometry

Results
As for the magnetic moment: 2.00 μB/f.u. The value obtained for the density of states at the Fermi level is 0.334 states/eV/atom.

Unit cell a=6.316 b=13.545 c=24.159 alpha=90.00 beta=90.00 gamma=90.00
Space group Fddd (No. 70, origin choice 2)
One atom of each set of equivalent atoms:
Cs1 0.125 0.125 0.319 x16
Sr1 0.125 0.125 0.125 x8
Mo1 0.125 0.125 0.625 x8
O1 0.079 0.284 0.841 x32

[14]
Cs2TbMoO6 | PBE with a Hubbard U | optimized geometry

Results
As for the magnetic moment: 1.04 μB/f.u. The value obtained for the density of states at the Fermi level is 0.173 states/eV/atom.

Unit cell a=6.8068 b=6.8068 c=5.8902 alpha=90.00 beta=90.00 gamma=120.00
Space group P-3m1 (No. 164)
One atom of each set of equivalent atoms:
Cs1 0.3333 0.6667 0.3714 x2
Tb1 0.0000 0.0000 0.0000 x1
Mo1 0.0000 0.0000 0.5000 x1
O1 0.1296 0.2592 0.7068 x6

[15]
CsTcMo2O8 | PBE with a Hubbard U | optimized geometry

Results
As for the magnetic moment: 2.01 μB/f.u. The value obtained for the density of states at the Fermi level is 0.187 states/eV/atom.

Unit cell a=9.845 b=5.866 c=8.544 alpha=90.00 beta=91.96 gamma=90.00
Space group C2/m (No. 12)
One atom of each set of equivalent atoms:
Cs1 0.000 0.000 0.000 x2
Tc1 0.000 0.000 0.500 x2
Mo1 0.150 0.500 0.299 x4
O1 0.055 0.241 0.346 x8
O2 0.176 0.500 0.096 x4
O3 0.189 0.000 0.593 x4

[16]
CsTc2MoO8 | PBE with a Hubbard U | optimized geometry

Results
As for the magnetic moment: 1.00 μB/f.u. The value obtained for the density of states at the Fermi level is 0.442 states/eV/atom.

Unit cell a=5.8659 b=5.8659 c=8.3474 alpha=90.00 beta=90.00 gamma=120.00
Space group P-3 (No. 147)
One atom of each set of equivalent atoms:
Cs1 0.0000 0.0000 0.0000 x1
Tc1 0.3333 0.6667 0.7191 x2
Mo1 0.0000 0.0000 0.5000 x1
O1 0.1629 0.3329 0.6479 x6
O2 0.3333 0.6667 0.9289 x2

[17]
CsTeMoO6 | PBE with a Hubbard U | optimized geometry

Results
As for the magnetic moment: 1.00 μB/f.u.

Unit cell a=5.3997 b=5.3997 c=6.7301 alpha=90.00 beta=90.00 gamma=120.00
Space group P312 (No. 149)
One atom of each set of equivalent atoms:
Cs1 0.0000 0.0000 0.0000 x1
Te1 0.6667 0.3333 0.5000 x1
Mo1 0.3333 0.6667 0.5000 x1
O1 0.4114 0.0049 0.6686 x6

[18]
CsTe2MoO8 | PBE with a Hubbard U | optimized geometry

Results
As for the magnetic moment: 0.00 μB/f.u. The value obtained for the density of states at the Fermi level is 0.368 states/eV/atom.

Unit cell a=5.7769 b=5.7769 c=8.5105 alpha=90.00 beta=90.00 gamma=120.00
Space group P-3 (No. 147)
One atom of each set of equivalent atoms:
Cs1 0.0000 0.0000 0.0000 x1
Te1 0.3333 0.6667 0.6573 x2
Mo1 0.0000 0.0000 0.5000 x1
O1 0.0180 0.2852 0.6317 x6
O2 0.3333 0.6667 0.8702 x2

Number 1: electronic total energy -5.381 eV per atom. Number 2: electronic total energy -5.357 eV per atom. Number 3: electronic total energy -5.993 eV per atom. Number 4: electronic total energy -6.545 eV per atom. Number 5: electronic total energy -4.818 eV per atom. Number 6: electronic total energy -6.296 eV per atom. Number 7: electronic total energy -5.217 eV per atom. Number 8: electronic total energy -5.217 eV per atom. Number 9: electronic total energy -6.390 eV per atom. Number 10: electronic total energy -7.223 eV per atom. Number 11: electronic total energy -6.376 eV per atom. Number 12: electronic total energy -6.688 eV per atom. Number 13: electronic total energy -5.360 eV per atom. Number 14: electronic total energy -6.215 eV per atom. Number 15: electronic total energy -7.025 eV per atom. Number 16: electronic total energy -7.226 eV per atom. Number 17: electronic total energy -6.008 eV per atom. Number 18: electronic total energy -5.653 eV per atom.